(1)
Material: Be2VSbAs
Method: DFT, PBE-GGA
State: optimized geometry

Values from the calculation:
V = 99 Å³/cell
Uncorrected energy = -3.91 eV/atom
E_form (uncorrected) = 1.16 eV/atom
Density = 4.47 g/cm³
Space group = No. 123

a = 4.470 Å, b = 4.942 Å, c = 4.470 Å
α = 90.00°, β = 90.00°, γ = 90.00°
Fractional positions:
As 0.500 0.500 0.500
Be 0.500 0.000 0.000
V 0.000 0.000 0.000
Be 0.000 0.000 0.500
Sb 0.000 0.500 0.000

***

(2)
Material: Sc2BeAs
Method: DFT, PBE-GGA
State: optimized geometry

Values from the calculation:
V = 75 Å³/cell
Uncorrected energy = -5.48 eV/atom
Density = 3.85 g/cm³
Excess energy over the best structure of this formula in the dataset = 0.518 eV/atom
ΔH_f (0 K) = -221 meV/atom
Space group = No. 35

a = 3.281 Å, b = 3.281 Å, c = 7.214 Å
α = 90.00°, β = 90.00°, γ = 105.02°
Fractional positions:
Sc 0.000 0.000 0.951
As 0.000 0.000 0.553
Be 0.500 0.500 0.698
Sc 0.500 0.500 0.298

***

(3)
Material: Sc4BeAs
Method: DFT, PBE-GGA
State: optimized geometry

Values from the calculation:
V = 128 Å³/cell
Uncorrected energy = -5.17 eV/atom
Density = 3.42 g/cm³
ΔH_f (0 K) = 450 meV/atom
Space group = No. 216

a = 5.658 Å, b = 5.658 Å, c = 5.658 Å
α = 60.00°, β = 60.00°, γ = 60.00°
Fractional positions:
Be 0.000 0.000 0.000
Sc 0.876 0.375 0.375
Sc 0.375 0.375 0.375
Sc 0.375 0.375 0.876
As 0.750 0.750 0.750
Sc 0.375 0.876 0.375

***

(4)
Material: ScBe8As6
Method: DFT, PBE-GGA
State: optimized geometry

Values from the calculation:
V = 474 Å³/cell
Uncorrected energy = -4.35 eV/atom
Density = 3.97 g/cm³
ΔH_f (0 K) = -82 meV/atom
Space group = No. 185

a = 6.712 Å, b = 6.712 Å, c = 12.158 Å
α = 90.00°, β = 90.00°, γ = 120.00°
Fractional positions:
Be 0.662 0.662 0.634
Be 0.000 0.334 0.281
Sc 0.000 0.000 0.950
As 0.000 0.000 0.203
Be 0.667 0.333 0.889
As 0.604 0.000 0.957
Be 0.333 0.667 0.389
Be 0.000 0.338 0.634
Be 0.338 0.338 0.134
Be 0.667 0.333 0.389
Be 0.000 0.662 0.134
As 0.333 0.667 0.200
As 0.604 0.604 0.457
Be 0.666 0.666 0.281
Be 0.333 0.667 0.889
Sc 0.000 0.000 0.450
Be 0.666 0.000 0.781
As 0.333 0.667 0.700
Be 0.000 0.666 0.781
As 0.000 0.396 0.457
Be 0.334 0.000 0.281
Be 0.338 0.000 0.634
As 0.667 0.333 0.700
Be 0.662 0.000 0.134
As 0.396 0.396 0.957
As 0.396 0.000 0.457
As 0.000 0.000 0.703
Be 0.334 0.334 0.781
As 0.000 0.604 0.957
As 0.667 0.333 0.200

***

(5)
Material: Sc2BeAs
Method: DFT, PBE-GGA
State: optimized geometry

Values from the calculation:
V = 70 Å³/cell
Uncorrected energy = -5.63 eV/atom
Density = 4.13 g/cm³
Excess energy over the best structure of this formula in the dataset = 0.372 eV/atom
ΔH_f (0 K) = -367 meV/atom
Space group = No. 225

a = 4.625 Å, b = 4.625 Å, c = 4.625 Å
α = 60.00°, β = 60.00°, γ = 60.00°
Fractional positions:
As 0.500 0.500 0.500
Sc 0.750 0.750 0.750
Be 0.000 0.000 0.000
Sc 0.250 0.250 0.250

***

(6)
Material: ScBe4As
Method: DFT, PBE-GGA
State: optimized geometry

Values from the calculation:
V = 74 Å³/cell
Uncorrected energy = -4.15 eV/atom
Density = 3.50 g/cm³
ΔH_f (0 K) = 165 meV/atom
Space group = No. 216

a = 4.712 Å, b = 4.712 Å, c = 4.712 Å
α = 60.00°, β = 60.00°, γ = 60.00°
Fractional positions:
Be 0.379 0.379 0.379
Be 0.379 0.379 0.863
Sc 0.750 0.750 0.750
Be 0.379 0.863 0.379
Be 0.863 0.379 0.379
As 0.000 0.000 0.000

***

(7)
Material: Sc2BeAs
Method: DFT, PBE-GGA
State: optimized geometry

Values from the calculation:
V = 79 Å³/cell
Uncorrected energy = -5.69 eV/atom
Density = 3.67 g/cm³
Excess energy over the best structure of this formula in the dataset = 0.314 eV/atom
ΔH_f (0 K) = -425 meV/atom
Space group = No. 12

a = 3.777 Å, b = 3.777 Å, c = 6.742 Å
α = 73.86°, β = 73.86°, γ = 59.84°
Fractional positions:
Be 0.750 0.750 0.750
Sc 0.502 0.502 0.493
Sc 0.998 0.998 0.007
As 0.250 0.250 0.250

***

(8)
Material: Sc2BeAs
Method: DFT, PBE-GGA
State: optimized geometry

Values from the calculation:
V = 68 Å³/cell
Uncorrected energy = -5.68 eV/atom
Density = 4.22 g/cm³
Excess energy over the best structure of this formula in the dataset = 0.320 eV/atom
ΔH_f (0 K) = -419 meV/atom
Space group = No. 139

a = 4.882 Å, b = 4.882 Å, c = 4.882 Å
α = 128.98°, β = 128.98°, γ = 75.04°
Fractional positions:
Sc 0.000 0.000 0.000
Be 0.250 0.750 0.500
Sc 0.500 0.500 0.000
As 0.750 0.250 0.500

***

(9)
Material: Sc2BeAs
Method: DFT, PBE-GGA
State: optimized geometry

Values from the calculation:
V = 155 Å³/cell
Uncorrected energy = -5.46 eV/atom
Density = 3.72 g/cm³
Excess energy over the best structure of this formula in the dataset = 0.535 eV/atom
ΔH_f (0 K) = -204 meV/atom
Space group = No. 122

a = 7.036 Å, b = 7.036 Å, c = 5.882 Å
α = 53.26°, β = 53.26°, γ = 90.00°
Fractional positions:
As 0.750 0.250 0.500
Be 0.250 0.750 0.500
Be 0.500 0.500 0.000
Sc 0.375 0.383 0.750
Sc 0.875 0.867 0.750
As 0.000 0.000 0.000
Sc 0.617 0.125 0.250
Sc 0.133 0.625 0.250

***

(10)
Material: ScBe3As
Method: DFT, PBE-GGA
State: optimized geometry

Values from the calculation:
V = 102 Å³/cell
Uncorrected energy = -2.64 eV/atom
Density = 2.39 g/cm³
Excess energy over the best structure of this formula in the dataset = 1.159 eV/atom
ΔH_f (0 K) = 1791 meV/atom
Space group = No. 221

a = 4.675 Å, b = 4.675 Å, c = 4.675 Å
α = 90.00°, β = 90.00°, γ = 90.00°
Last column: magnetic moment on the atom in μB.
Fractional positions:
Sc 0.000 0.000 0.000  0.58
Be 0.000 0.500 0.000  0.06
Be 0.500 0.000 0.000  0.15
As 0.500 0.500 0.500  -0.01
Be 0.000 0.000 0.500  0.03

***

(11)
Material: Sc2BeAs
Method: DFT, PBE-GGA
State: optimized geometry

Values from the calculation:
V = 82 Å³/cell
Uncorrected energy = -5.12 eV/atom
Density = 3.50 g/cm³
Excess energy over the best structure of this formula in the dataset = 0.884 eV/atom
ΔH_f (0 K) = 145 meV/atom
Space group = No. 166

a = 9.276 Å, b = 9.276 Å, c = 9.276 Å
α = 20.10°, β = 20.10°, γ = 20.10°
Fractional positions:
Sc 0.901 0.901 0.901
As 0.000 0.000 0.000
Sc 0.099 0.099 0.099
Be 0.500 0.500 0.500

***

(12)
Material: ScBe3As3
Method: DFT, PBE-GGA
State: optimized geometry

Values from the calculation:
V = 233 Å³/cell
Uncorrected energy = -4.98 eV/atom
Density = 4.22 g/cm³
ΔH_f (0 K) = -491 meV/atom
Space group = No. 148

a = 6.540 Å, b = 6.540 Å, c = 7.348 Å
α = 63.58°, β = 63.58°, γ = 60.00°
Fractional positions:
Be 0.541 0.215 0.371
Sc 0.334 0.334 0.999
Be 0.459 0.785 0.629
Be 0.785 0.127 0.629
As 0.415 0.085 0.741
As 0.085 0.759 0.741
Be 0.127 0.459 0.629
As 0.241 0.585 0.259
Be 0.215 0.873 0.371
Sc 0.666 0.666 0.001
Be 0.873 0.541 0.371
As 0.759 0.415 0.741
As 0.915 0.241 0.259
As 0.585 0.915 0.259

***

(13)
Material: ScBe3As
Method: DFT, PBE-GGA
State: optimized geometry

Values from the calculation:
V = 79 Å³/cell
Uncorrected energy = -3.80 eV/atom
Density = 3.09 g/cm³
Excess energy over the best structure of this formula in the dataset = 0.000 eV/atom
ΔH_f (0 K) = 632 meV/atom
Space group = No. 221

a = 4.290 Å, b = 4.290 Å, c = 4.290 Å
α = 90.00°, β = 90.00°, γ = 90.00°
Fractional positions:
Be 0.000 0.000 0.500
Sc 0.500 0.500 0.500
Be 0.000 0.500 0.000
Be 0.500 0.000 0.000
As 0.000 0.000 0.000

***

(14)
Material: Sc2BeAs
Method: DFT, PBE-GGA
State: optimized geometry

Values from the calculation:
V = 70 Å³/cell
Uncorrected energy = -6.00 eV/atom
Density = 4.12 g/cm³
Excess energy over the best structure of this formula in the dataset = 0.000 eV/atom
ΔH_f (0 K) = -739 meV/atom
Space group = No. 38

a = 3.646 Å, b = 3.893 Å, c = 5.309 Å
α = 68.49°, β = 90.00°, γ = 90.00°
Fractional positions:
As 0.000 0.695 0.484
Sc 0.500 0.272 0.332
Sc 0.000 0.983 0.910
Be 0.500 0.550 0.775

***

(15)
Material: Sc2BeAs
Method: DFT, PBE-GGA
State: optimized geometry

Values from the calculation:
V = 70 Å³/cell
Uncorrected energy = -5.78 eV/atom
Density = 4.12 g/cm³
Excess energy over the best structure of this formula in the dataset = 0.214 eV/atom
ΔH_f (0 K) = -525 meV/atom
Space group = No. 44

a = 5.557 Å, b = 5.557 Å, c = 5.557 Å
α = 143.09°, β = 136.67°, γ = 58.20°
Fractional positions:
Sc 0.746 0.246 0.500
Be 0.291 0.791 0.500
Sc 0.009 0.009 0.000
As 0.455 0.455 0.000

***

(16)
Material: Sc2BeAs
Method: DFT, PBE-GGA
State: optimized geometry

Values from the calculation:
V = 74 Å³/cell
Uncorrected energy = -5.45 eV/atom
Density = 3.91 g/cm³
Excess energy over the best structure of this formula in the dataset = 0.546 eV/atom
ΔH_f (0 K) = -194 meV/atom
Space group = No. 99

a = 3.230 Å, b = 3.230 Å, c = 7.070 Å
α = 90.00°, β = 90.00°, γ = 90.00°
Last column: magnetic moment on the atom in μB.
Fractional positions:
Be 0.500 0.500 0.694  0.00
Sc 0.000 0.000 0.951  0.12
Sc 0.500 0.500 0.294  0.17
As 0.000 0.000 0.561  0.00

***

(17)
Material: Sc2BeAs
Method: DFT, PBE-GGA
State: optimized geometry

Values from the calculation:
V = 79 Å³/cell
Uncorrected energy = -5.64 eV/atom
Density = 3.67 g/cm³
Excess energy over the best structure of this formula in the dataset = 0.355 eV/atom
ΔH_f (0 K) = -385 meV/atom
Space group = No. 99

a = 3.820 Å, b = 3.820 Å, c = 5.389 Å
α = 90.00°, β = 90.00°, γ = 90.00°
Fractional positions:
As 0.000 0.000 0.375
Sc 0.000 0.000 0.875
Sc 0.500 0.500 0.375
Be 0.500 0.500 0.876

***

(18)
Material: Sc2BeAs
Method: DFT, PBE-GGA
State: optimized geometry

Values from the calculation:
V = 70 Å³/cell
Uncorrected energy = -5.76 eV/atom
Density = 4.14 g/cm³
Excess energy over the best structure of this formula in the dataset = 0.239 eV/atom
ΔH_f (0 K) = -500 meV/atom
Space group = No. 123

a = 3.453 Å, b = 3.455 Å, c = 6.787 Å
α = 59.39°, β = 90.00°, γ = 90.00°
Last column: magnetic moment on the atom in μB.
Fractional positions:
Sc 0.000 0.001 0.999  0.19
As 0.500 0.250 0.250  0.00
Be 0.500 0.750 0.750  0.00
Sc 0.000 0.499 0.501  0.19

***

(19)
Material: Sc2BeAs
Method: DFT, PBE-GGA
State: optimized geometry

Values from the calculation:
V = 71 Å³/cell
Uncorrected energy = -5.06 eV/atom
Density = 4.06 g/cm³
Excess energy over the best structure of this formula in the dataset = 0.940 eV/atom
ΔH_f (0 K) = 201 meV/atom
Space group = No. 216

a = 4.649 Å, b = 4.649 Å, c = 4.649 Å
α = 60.00°, β = 60.00°, γ = 60.00°
Fractional positions:
Be 0.750 0.750 0.750
Sc 0.250 0.250 0.250
Sc 0.000 0.000 0.000
As 0.500 0.500 0.500

***

(20)
Material: ScBeAs2Se
Method: DFT, PBE-GGA
State: optimized geometry

Values from the calculation:
V = 99 Å³/cell
Uncorrected energy = -4.63 eV/atom
E_form (uncorrected) = -0.06 eV/atom
Density = 4.75 g/cm³
Excess energy over the best structure of this formula in the dataset = 0.000 eV/atom
Space group = No. 123

a = 4.250 Å, b = 4.250 Å, c = 5.473 Å
α = 90.00°, β = 90.00°, γ = 90.00°
Fractional positions:
As 0.000 0.500 0.000
As 0.500 0.000 0.000
Se 0.000 0.000 0.500
Sc 0.500 0.500 0.500
Be 0.000 0.000 0.000

***

(21)
Material: ScBeAs2Se
Method: DFT, PBE-GGA
State: optimized geometry

Values from the calculation:
V = 132 Å³/cell
Uncorrected energy = -3.99 eV/atom
E_form (uncorrected) = 0.58 eV/atom
Density = 3.56 g/cm³
Excess energy over the best structure of this formula in the dataset = 0.644 eV/atom
Space group = No. 123

a = 5.103 Å, b = 5.103 Å, c = 5.059 Å
α = 90.00°, β = 90.00°, γ = 90.00°
Fractional positions:
Sc 0.000 0.000 0.000
As 0.500 0.000 0.000
Se 0.000 0.000 0.500
As 0.000 0.500 0.000
Be 0.500 0.500 0.500

***

(22)
Material: ScBeAsSe2
Method: DFT, PBE-GGA
State: optimized geometry

Values from the calculation:
V = 134 Å³/cell
Uncorrected energy = -3.96 eV/atom
E_form (uncorrected) = 0.38 eV/atom
Density = 3.56 g/cm³
Excess energy over the best structure of this formula in the dataset = 0.558 eV/atom
Space group = No. 123

a = 5.078 Å, b = 5.078 Å, c = 5.185 Å
α = 90.00°, β = 90.00°, γ = 90.00°
Fractional positions:
Se 0.000 0.500 0.000
Sc 0.000 0.000 0.000
Se 0.500 0.000 0.000
As 0.000 0.000 0.500
Be 0.500 0.500 0.500

***

(23)
Material: ScBeAsSe2
Method: DFT, PBE-GGA
State: optimized geometry

Values from the calculation:
V = 98 Å³/cell
Uncorrected energy = -4.51 eV/atom
E_form (uncorrected) = -0.18 eV/atom
Density = 4.87 g/cm³
Excess energy over the best structure of this formula in the dataset = 0.000 eV/atom
Space group = No. 123

a = 4.788 Å, b = 4.788 Å, c = 4.269 Å
α = 90.00°, β = 90.00°, γ = 90.00°
Fractional positions:
Sc 0.500 0.500 0.500
Se 0.500 0.000 0.000
As 0.000 0.000 0.500
Be 0.000 0.000 0.000
Se 0.000 0.500 0.000

***

(24)
Material: ScTi2BeAs
Method: DFT, PBE-GGA
State: optimized geometry

Values from the calculation:
V = 84 Å³/cell
Uncorrected energy = -5.90 eV/atom
Density = 4.45 g/cm³
ΔH_f (0 K) = 197 meV/atom
Space group = No. 123

a = 4.486 Å, b = 4.169 Å, c = 4.486 Å
α = 90.00°, β = 90.00°, γ = 90.00°
Last column: magnetic moment on the atom in μB.
Fractional positions:
Be 0.000 0.000 0.000  0.01
Ti 0.500 0.000 0.000  0.43
As 0.000 0.500 0.000  -0.02
Ti 0.000 0.000 0.500  0.51
Sc 0.500 0.500 0.500  0.34

***

(25)
Material: Be2AsSe
Method: DFT, PBE-GGA
State: optimized geometry

Values from the calculation:
V = 65 Å³/cell
Uncorrected energy = -3.53 eV/atom
E_form (uncorrected) = 0.37 eV/atom
Density = 4.37 g/cm³
Excess energy over the best structure of this formula in the dataset = 0.648 eV/atom
Space group = No. 119

a = 6.336 Å, b = 6.336 Å, c = 6.336 Å
α = 149.52°, β = 149.52°, γ = 43.65°
Fractional positions:
Be 0.000 0.000 0.000
Be 0.250 0.750 0.500
As 0.750 0.250 0.500
Se 0.500 0.500 0.000

***

(26)
Material: Be2AsSe
Method: DFT, PBE-GGA
State: optimized geometry

Values from the calculation:
V = 83 Å³/cell
Uncorrected energy = -4.17 eV/atom
E_form (uncorrected) = -0.27 eV/atom
Density = 3.45 g/cm³
Excess energy over the best structure of this formula in the dataset = 0.005 eV/atom
Space group = No. 6

a = 3.566 Å, b = 3.306 Å, c = 7.013 Å
α = 89.30°, β = 90.00°, γ = 90.00°
Fractional positions:
As 0.500 0.881 0.902
Se 0.000 0.370 0.335
Be 0.000 0.875 0.118
Be 0.500 0.374 0.146

***

(27)
Material: Be2AsSe
Method: DFT, PBE-GGA
State: optimized geometry

Values from the calculation:
V = 58 Å³/cell
Uncorrected energy = -3.35 eV/atom
E_form (uncorrected) = 0.55 eV/atom
Density = 4.90 g/cm³
Excess energy over the best structure of this formula in the dataset = 0.827 eV/atom
Space group = No. 65

a = 4.291 Å, b = 4.291 Å, c = 3.214 Å
α = 90.00°, β = 90.00°, γ = 79.93°
Fractional positions:
As 0.000 0.500 0.500
Be 0.500 0.500 0.000
Be 0.000 0.000 0.000
Se 0.500 0.000 0.500

***

(28)
Material: BeAsSe
Method: DFT, PBE-GGA
State: optimized geometry

Values from the calculation:
V = 54 Å³/cell
Uncorrected energy = -3.62 eV/atom
E_form (uncorrected) = 0.33 eV/atom
Density = 4.98 g/cm³
Excess energy over the best structure of this formula in the dataset = 0.241 eV/atom
Space group = No. 216

a = 4.250 Å, b = 4.250 Å, c = 4.250 Å
α = 60.00°, β = 60.00°, γ = 60.00°
Fractional positions:
Be 0.750 0.750 0.750
As 0.500 0.500 0.500
Se 0.000 0.000 0.000